[1]
## CdInP2 (PBE)

Data for a relaxed CdInP2 crystal.

abc: 3.1256 3.1256 29.3996
angles: 90.00 90.00 120.00
Last column: nearest neighbours and their distance in Å.
Space group R-3m (No. 166, hexagonal axes)
Inequivalent atoms, fractional coordinates:
Cd: 0.0000 0.0000 0.0000 (multiplicity 3)  6 P 2.84, 6 Cd 3.13
In: 0.0000 0.0000 0.5000 (multiplicity 3)  6 In 3.13, 6 P 3.26
P: 0.0000 0.0000 0.2589 (multiplicity 6)  3 Cd 2.84, 6 P 3.13

M_tot   0.0 μB per formula unit
Mass density   5.79 Mg/m³
VASP energy   -37.32 eV/cell

***

[2]
## DyMgAl4 (PBE)

Data for a relaxed DyMgAl4 crystal.

abc: 5.5354 5.5354 8.8022
angles: 90.00 90.00 120.00
Last column: nearest neighbours and their distance in Å.
Space group P-3m1 (No. 164)
Inequivalent atoms, fractional coordinates:
Dy: 0.3333 0.6667 0.4301 (multiplicity 2)  12 Al 3.20-3.25, 1 Mg 3.29, 3 Dy 3.42
Mg: 0.3333 0.6667 0.0565 (multiplicity 2)  12 Al 3.10-3.24, 1 Dy 3.29, 3 Mg 3.35
Al: 0.0000 0.0000 0.0000 (multiplicity 1)  6 Al 2.73
Al: 0.0000 0.0000 0.5000 (multiplicity 1)  6 Al 2.76
Al: 0.1711 0.3422 0.7516 (multiplicity 6)  6 Al 2.69-2.84

M_tot   0.0 μB per formula unit
Mass density   4.19 Mg/m³
Energy relative to the lowest polymorph listed for this composition   0.0000 eV per atom

***

[3]
## SrZnInNiSe (PBE)

Data for a relaxed SrZnInNiSe crystal.

abc: 12.3622 3.9963 5.1640
angles: 90.00 114.23 90.00
Last column: nearest neighbours and their distance in Å.
Space group Cm (No. 8)
Inequivalent atoms, fractional coordinates:
Sr: 0.0000 0.0000 0.0000 (multiplicity 2)  4 Se 3.29-3.40, 3 Ni 3.39-3.48, 2 Zn 3.44, 1 In 3.59
Zn: 0.2515 0.0000 0.7274 (multiplicity 2)  2 Ni 2.44, 1 In 2.63
In: 0.3178 0.0000 0.2804 (multiplicity 2)  2 Ni 2.61, 2 Zn 2.63-2.75, 1 Se 2.81
Ni: 0.2218 0.5000 0.4350 (multiplicity 2)  1 Se 2.33, 2 Zn 2.44, 2 In 2.61
Se: 0.0658 0.5000 0.5780 (multiplicity 2)  1 Ni 2.33

M_tot   0.0 μB per formula unit
Mass density   5.79 Mg/m³
Energy relative to the lowest polymorph listed for this composition   0.1468 eV per atom
Raw formation energy   -499 meV per atom

***

[4]
## AcSbP2O8 (PBE)

Data for a relaxed AcSbP2O8 crystal.

abc: 5.2132 5.2132 7.6642
angles: 90.00 90.00 120.00
Last column: nearest neighbours and their distance in Å.
Space group P-3 (No. 147)
Inequivalent atoms, fractional coordinates:
Ac: 0.0000 0.0000 0.0000 (multiplicity 1)  12 O 2.72-3.01
Sb: 0.0000 0.0000 0.5000 (multiplicity 1)  6 O 2.28
P: 0.3333 0.6667 0.7768 (multiplicity 2)  4 O 1.54-1.56
O: 0.1141 0.3468 0.7133 (multiplicity 6)  1 P 1.56
O: 0.3333 0.6667 0.9782 (multiplicity 2)  1 P 1.54

M_tot   0.0 μB per formula unit
Mass density   4.96 Mg/m³
Raw formation energy   -2380 meV per atom

***

[5]
## CaAlPd (PBE)

Data for a relaxed CaAlPd crystal.

abc: 5.4877 5.7381 7.4963
angles: 90.00 90.00 90.00
Last column: nearest neighbours and their distance in Å.
Space group Imma (No. 74)
Inequivalent atoms, fractional coordinates:
Ca: 0.0000 0.2500 0.1314 (multiplicity 4)  6 Pd 3.11-3.25, 6 Al 3.17-3.30, 4 Ca 3.27-3.48
Al: 0.2500 0.2500 0.7500 (multiplicity 4)  4 Pd 2.73, 2 Al 2.74
Pd: 0.0000 0.0000 0.5000 (multiplicity 4)  4 Al 2.73, 2 Pd 2.87

M_tot   0.0 μB per formula unit
Mass density   4.88 Mg/m³
VASP energy   -52.22 eV/cell

***

[6]
## KGdIn2 (PBE)

Data for a relaxed KGdIn2 crystal.

abc: 3.8607 3.8607 8.6245
angles: 90.00 90.00 90.00
Last column: nearest neighbours and their distance in Å.
Space group P4/mmm (No. 123)
Inequivalent atoms, fractional coordinates:
K: 0.0000 0.0000 0.0000 (multiplicity 1)  8 In 3.73, 4 K 3.86
Gd: 0.0000 0.0000 0.5000 (multiplicity 1)  8 In 3.26
In: 0.5000 0.5000 0.2943 (multiplicity 2)  4 Gd 3.26, 1 In 3.55

M_tot   7.3 μB per formula unit
Mass density   5.50 Mg/m³
Energy relative to the lowest polymorph listed for this composition   0.0000 eV per atom